TaZn2Re | PBE | relaxed

Results
The calculation puts the volume at 15.40 A^3/atom. For the energy above the most stable polymorph in this dataset, the calculation gives 0.221 eV per atom.

```
data_TaZn2Re
_cell_length_a 2.701
_cell_length_b 2.701
_cell_length_c 8.443
_cell_angle_alpha 90.00
_cell_angle_beta 90.00
_cell_angle_gamma 90.00
_symmetry_space_group_name_H-M 'P 1'
_symmetry_Int_Tables_number 1
_symmetry_space_group_name_Hall 'P 1'
loop_
_atom_site_label
_atom_site_type_symbol
_atom_site_fract_x
_atom_site_fract_y
_atom_site_fract_z
_atom_site_occupancy
Ta1 Ta 0.000 0.000 0.000 1
Zn1 Zn 0.500 0.500 0.257 1
Zn2 Zn 0.500 0.500 0.743 1
Re1 Re 0.000 0.000 0.500 1
```